1.
# NaIrS2 PBE relaxed
# - Raw formation energy: -0.6619 eV per atom
# - Volume: 74.2 Å³ per cell
# - Calculated density: 6.25 Mg/m³
# - Space group: R3m, No. 160
# - E_tot: -5.271 eV per atom
# - Crystal system: trigonal
data_NaIrS2
_space_group_name_H-M_alt 'P 1'
_space_group_IT_number 1
_cell_length_a 3.672
_cell_length_b 3.672
_cell_length_c 6.699
_cell_angle_alpha 74.09
_cell_angle_beta 74.09
_cell_angle_gamma 60.00
loop_
_space_group_symop_operation_xyz
'x,y,z'
loop_
_atom_site_label
_atom_site_type_symbol
_atom_site_fract_x
_atom_site_fract_y
_atom_site_fract_z
S1 S 0.061 0.061 0.818
Ir1 Ir 0.667 0.667 0.999
S2 S 0.273 0.273 0.180
Na1 Na 0.499 0.499 0.503

---

2.
# HfAl2Sn2 PBE relaxed
# - Energy relative to the lowest polymorph listed for this composition: 0.00 kJ per mole of atoms
# - Volume: 212.7 Å³ per cell
# - Calculated density: 7.34 Mg/m³
# - Formation energy from the elements: 0.050 eV per atom
# - Space group: P4/mbm, No. 127
# - E_tot: -5.039 eV per atom
# - Crystal system: tetragonal
data_HfAl2Sn2
_space_group_name_H-M_alt 'P 1'
_space_group_IT_number 1
_cell_length_a 7.410
_cell_length_b 7.410
_cell_length_c 3.874
_cell_angle_alpha 90.00
_cell_angle_beta 90.00
_cell_angle_gamma 90.00
loop_
_space_group_symop_operation_xyz
'x,y,z'
loop_
_atom_site_label
_atom_site_type_symbol
_atom_site_fract_x
_atom_site_fract_y
_atom_site_fract_z
Sn1 Sn 0.827 0.327 0.500
Hf1 Hf 0.500 0.500 0.000
Sn2 Sn 0.673 0.827 0.500
Sn3 Sn 0.173 0.673 0.500
Al1 Al 0.128 0.372 0.000
Hf2 Hf 0.000 0.000 0.000
Al2 Al 0.872 0.628 0.000
Al3 Al 0.628 0.128 0.000
Al4 Al 0.372 0.872 0.000
Sn4 Sn 0.327 0.173 0.500

---

| no. | spin magnetization (μB/atom) |
| --- | --- |
| 1 | 0.000 |
| 2 | 0.000 |